An optimized crystal structure of Ta2Ti2Tc, computed with GGA-PBE.

Results
Symmetry: No. 141
Magnetization, μB per cell: 0.0
Relative energy among the computed polymorphs, eV/f.u.: 1.51

```
data_Ta2Ti2Tc
_chemical_formula_sum 'Ta4 Ti4 Tc2'
_cell_length_a 4.316
_cell_length_b 4.316
_cell_length_c 10.370
_cell_angle_alpha 102.01
_cell_angle_beta 102.01
_cell_angle_gamma 90.00
_space_group_name_H-M_alt 'P 1'
_space_group_IT_number 1
loop_
_space_group_symop_operation_xyz
'x,y,z'
loop_
_atom_site_label
_atom_site_type_symbol
_atom_site_fract_x
_atom_site_fract_y
_atom_site_fract_z
_atom_site_occupancy
Ta1 Ta 0.421 0.921 0.842 1
Ta2 Ta 0.671 0.671 0.342 1
Ta3 Ta 0.329 0.329 0.658 1
Ta4 Ta 0.079 0.579 0.158 1
Ti1 Ti 0.826 0.826 0.652 1
Ti2 Ti 0.576 0.076 0.152 1
Ti3 Ti 0.924 0.424 0.848 1
Ti4 Ti 0.174 0.174 0.348 1
Tc1 Tc 0.500 0.500 0.000 1
Tc2 Tc 0.250 0.750 0.500 1
```

=====

An optimized crystal structure of Li3Hg2Pb3, computed with GGA-PBE.

Results
Total energy, eV/atom: -2.377
Symmetry: No. 71
Magnetization, μB per cell: 0.0

```
data_Li3Hg2Pb3
_chemical_formula_sum 'Li3 Hg2 Pb3'
_cell_length_a 3.665
_cell_length_b 5.028
_cell_length_c 10.581
_cell_angle_alpha 103.74
_cell_angle_beta 99.97
_cell_angle_gamma 90.00
_space_group_name_H-M_alt 'P 1'
_space_group_IT_number 1
loop_
_space_group_symop_operation_xyz
'x,y,z'
loop_
_atom_site_label
_atom_site_type_symbol
_atom_site_fract_x
_atom_site_fract_y
_atom_site_fract_z
_atom_site_occupancy
Li1 Li 0.124 0.124 0.248 1
Li2 Li 0.000 0.500 0.000 1
Li3 Li 0.876 0.876 0.752 1
Hg1 Hg 0.733 0.233 0.467 1
Hg2 Hg 0.267 0.767 0.533 1
Pb1 Pb 0.622 0.622 0.244 1
Pb2 Pb 0.378 0.378 0.756 1
Pb3 Pb 0.500 0.000 0.000 1
```

=====

Please write out number 2 again, unchanged.
An optimized crystal structure of Li3Hg2Pb3, computed with GGA-PBE.

Results
Total energy, eV/atom: -2.377
Symmetry: No. 71
Magnetization, μB per cell: 0.0

```
data_Li3Hg2Pb3
_chemical_formula_sum 'Li3 Hg2 Pb3'
_cell_length_a 3.665
_cell_length_b 5.028
_cell_length_c 10.581
_cell_angle_alpha 103.74
_cell_angle_beta 99.97
_cell_angle_gamma 90.00
_space_group_name_H-M_alt 'P 1'
_space_group_IT_number 1
loop_
_space_group_symop_operation_xyz
'x,y,z'
loop_
_atom_site_label
_atom_site_type_symbol
_atom_site_fract_x
_atom_site_fract_y
_atom_site_fract_z
_atom_site_occupancy
Li1 Li 0.124 0.124 0.248 1
Li2 Li 0.000 0.500 0.000 1
Li3 Li 0.876 0.876 0.752 1
Hg1 Hg 0.733 0.233 0.467 1
Hg2 Hg 0.267 0.767 0.533 1
Pb1 Pb 0.622 0.622 0.244 1
Pb2 Pb 0.378 0.378 0.756 1
Pb3 Pb 0.500 0.000 0.000 1
```